Record 1
This record from Alexandria via LeMat-Bulk describes a relaxed Dy2Si4Ir3Ru crystal. The functional is PBE.

Output
space group	P-4m2 (115)
raw formation energy	-1022	meV/atom

Cell lengths 4.1742, 4.1742, 9.6490 Å; angles 90.00, 90.00, 90.00 degrees
Positions (direct):
Dy  0.0000  0.5000  0.2481
Dy  0.5000  0.0000  0.7519
Si  0.0000  0.0000  0.0000
Si  0.0000  0.5000  0.6253
Si  0.5000  0.0000  0.3747
Si  0.5000  0.5000  0.0000
Ir  0.0000  0.5000  0.8723
Ir  0.5000  0.0000  0.1277
Ir  0.5000  0.5000  0.5000
Ru  0.0000  0.0000  0.5000

---

Record 2
This record from Alexandria via LeMat-Bulk describes a relaxed Na3PmRh2O6 crystal. The functional is PBE.

Output
space group	C2/m (12)
raw formation energy	-1579	meV/atom

Cell lengths 7.4155, 7.4155, 6.6054 Å; angles 107.10, 107.10, 25.70 degrees
Positions (direct):
Na  0.0000  0.0000  0.0000
Na  0.3313  0.3313  0.6825
Na  0.6687  0.6687  0.3175
Pm  0.0000  0.0000  0.5000
Rh  0.3317  0.3317  0.1638
Rh  0.6683  0.6683  0.8362
O  0.1700  0.1700  0.6292
O  0.1807  0.1807  0.0470
O  0.4910  0.4910  0.2466
O  0.5090  0.5090  0.7534
O  0.8193  0.8193  0.9530
O  0.8300  0.8300  0.3708

---

Record 3
This record from Alexandria via LeMat-Bulk describes a relaxed La2Tb2Er5 crystal. The functional is PBE.

Output
space group	C2/m (12)
energy relative to the lowest polymorph listed for this composition	7	meV per atom

Cell lengths 10.9840, 10.9840, 8.2809 Å; angles 100.40, 100.40, 18.26 degrees
Positions (direct):
La  0.1807  0.1807  0.1425
La  0.8193  0.8193  0.8575
Tb  0.4540  0.4540  0.6435
Tb  0.5460  0.5460  0.3565
Er  0.0000  0.0000  0.0000
Er  0.0960  0.0960  0.7314
Er  0.3091  0.3091  0.4665
Er  0.6909  0.6909  0.5335
Er  0.9040  0.9040  0.2686

---

Record 4
This record from Alexandria via LeMat-Bulk describes a relaxed MnRu2Rh crystal. The functional is PBE.

Output
space group	I-4m2 (119)
uncorrected energy	-8.743	eV/atom

Cell lengths 4.6282, 4.6282, 4.6282 Å; angles 131.60, 131.60, 70.86 degrees
Positions (direct):
Mn  0.0000  0.0000  0.0000
Ru  0.5000  0.5000  0.0000
Ru  0.7500  0.2500  0.5000
Rh  0.2500  0.7500  0.5000